Entry from Alexandria via LeMat-Bulk: an optimized crystal structure of Sm6Bi2Te (PBE).

Computed properties:
- raw formation energy (eV per atom) = -0.7016
- crystal system = orthorhombic

Cell lengths 4.3542, 8.6282, 8.6282 Å; angles 120.01, 90.00, 90.00 degrees
Fractional coordinates of all 9 atoms:
Sm (0.0000, 0.0000, 0.0000)
Sm (0.0000, 0.4840, 0.7414)
Sm (0.0000, 0.7414, 0.4840)
Sm (0.5000, 0.1466, 0.7418)
Sm (0.5000, 0.3369, 0.3369)
Sm (0.5000, 0.7418, 0.1466)
Bi (0.0000, 0.0749, 0.4086)
Bi (0.0000, 0.4086, 0.0749)
Te (0.5000, 0.7423, 0.7423)

---

Entry from Alexandria via LeMat-Bulk: an optimized crystal structure of Sm3Bi3Te (PBE).

Computed properties:
- raw formation energy (eV per atom) = -0.7213
- crystal system = monoclinic

Cell lengths 7.8490, 7.8490, 8.4496 Å; angles 92.95, 92.95, 110.16 degrees
Fractional coordinates of all 14 atoms:
Sm (0.0604, 0.0604, 0.2232)
Sm (0.1642, 0.4959, 0.6912)
Sm (0.4959, 0.1642, 0.6912)
Sm (0.5041, 0.8358, 0.3088)
Sm (0.8358, 0.5041, 0.3088)
Sm (0.9396, 0.9396, 0.7768)
Bi (0.1629, 0.8371, 0.5000)
Bi (0.2210, 0.7790, 0.0000)
Bi (0.4016, 0.4016, 0.3454)
Bi (0.5984, 0.5984, 0.6546)
Bi (0.7790, 0.2210, 0.0000)
Bi (0.8371, 0.1629, 0.5000)
Te (0.2665, 0.2665, 0.9368)
Te (0.7335, 0.7335, 0.0632)

---

Entry from Alexandria via LeMat-Bulk: an optimized crystal structure of Sm8BiTe6 (PBE).

Computed properties:
- raw formation energy (eV per atom) = -1.0111
- crystal system = trigonal

Cell lengths 11.2352, 11.2352, 4.4236 Å; angles 90.00, 90.00, 120.00 degrees
Fractional coordinates of all 15 atoms:
Sm (0.0337, 0.3073, 0.2432)
Sm (0.2736, 0.9663, 0.2432)
Sm (0.3073, 0.2736, 0.7568)
Sm (0.3333, 0.6667, 0.7533)
Sm (0.6667, 0.3333, 0.2467)
Sm (0.6927, 0.7264, 0.2432)
Sm (0.7264, 0.0337, 0.7568)
Sm (0.9663, 0.6927, 0.7568)
Bi (0.0000, 0.0000, 0.0000)
Te (0.1257, 0.6461, 0.2520)
Te (0.3539, 0.4796, 0.2520)
Te (0.4796, 0.1257, 0.7480)
Te (0.5204, 0.8743, 0.2520)
Te (0.6461, 0.5204, 0.7480)
Te (0.8743, 0.3539, 0.7480)

---

Entry from Alexandria via LeMat-Bulk: an optimized crystal structure of Sm5Bi2Te2 (PBE).

Computed properties:
- raw formation energy (eV per atom) = -0.9945
- crystal system = orthorhombic

Cell lengths 8.9224, 8.9224, 8.4174 Å; angles 90.00, 90.00, 55.77 degrees
Fractional coordinates of all 18 atoms:
Sm (0.0000, 0.0000, 0.0000)
Sm (0.0228, 0.7102, 0.6573)
Sm (0.2102, 0.5228, 0.1573)
Sm (0.2898, 0.9772, 0.6573)
Sm (0.4772, 0.7898, 0.1573)
Sm (0.5000, 0.5000, 0.5000)
Sm (0.5228, 0.2102, 0.8427)
Sm (0.7102, 0.0228, 0.3427)
Sm (0.7898, 0.4772, 0.8427)
Sm (0.9772, 0.2898, 0.3427)
Bi (0.2003, 0.2003, 0.0000)
Bi (0.2997, 0.2997, 0.5000)
Bi (0.7003, 0.7003, 0.5000)
Bi (0.7997, 0.7997, 0.0000)
Te (0.1444, 0.8556, 0.3557)
Te (0.3556, 0.6444, 0.8557)
Te (0.6444, 0.3556, 0.1443)
Te (0.8556, 0.1444, 0.6443)

---

Entry from Alexandria via LeMat-Bulk: an optimized crystal structure of SmThBiTe (PBE).

Computed properties:
- raw formation energy (eV per atom) = -0.9692
- crystal system = tetragonal

Cell lengths 4.5097, 4.5097, 6.4062 Å; angles 90.00, 90.00, 90.00 degrees
Fractional coordinates of all 4 atoms:
Sm (0.0000, 0.0000, 0.0000)
Th (0.5000, 0.5000, 0.5000)
Bi (0.5000, 0.5000, 0.0000)
Te (0.0000, 0.0000, 0.5000)

---

Entry from Alexandria via LeMat-Bulk: an optimized crystal structure of SmThBiTe (PBE).

Computed properties:
- raw formation energy (eV per atom) = -0.8902
- crystal system = cubic

Cell lengths 5.5050, 5.5050, 5.5050 Å; angles 60.00, 60.00, 60.00 degrees
Fractional coordinates of all 4 atoms:
Sm (0.0000, 0.0000, 0.0000)
Th (0.5000, 0.5000, 0.5000)
Bi (0.7500, 0.7500, 0.7500)
Te (0.2500, 0.2500, 0.2500)

---

Entry from Alexandria via LeMat-Bulk: an optimized crystal structure of Sm2TmBi2Te2 (PBE).

Computed properties:
- raw formation energy (eV per atom) = -0.6038
- crystal system = tetragonal

Cell lengths 8.7623, 8.7623, 8.7623 Å; angles 141.20, 141.20, 56.03 degrees
Fractional coordinates of all 7 atoms:
Sm (0.1172, 0.1172, 0.0000)
Sm (0.8828, 0.8828, 0.0000)
Tm (0.5000, 0.5000, 0.0000)
Bi (0.0000, 0.5000, 0.5000)
Bi (0.5000, 0.0000, 0.5000)
Te (0.3074, 0.3074, 0.0000)
Te (0.6926, 0.6926, 0.0000)

---

Entry from Alexandria via LeMat-Bulk: an optimized crystal structure of SmTmBiTe (PBE).

Computed properties:
- raw formation energy (eV per atom) = -1.0639
- crystal system = tetragonal

Cell lengths 4.4455, 4.4455, 6.2594 Å; angles 90.00, 90.00, 90.00 degrees
Fractional coordinates of all 4 atoms:
Sm (0.0000, 0.0000, 0.0000)
Tm (0.5000, 0.5000, 0.4983)
Bi (0.5000, 0.5000, 0.9984)
Te (0.0000, 0.0000, 0.4998)

---

Entry from Alexandria via LeMat-Bulk: an optimized crystal structure of Sm5ThBi6 (PBE).

Computed properties:
- crystal system = monoclinic
- ΔH_f (0 K) (eV per atom) = -0.880

Cell lengths 7.9058, 7.9058, 7.9090 Å; angles 99.60, 99.60, 119.97 degrees
Fractional coordinates of all 12 atoms:
Sm (0.0000, 0.0000, 0.0000)
Sm (0.1668, 0.8332, 0.5000)
Sm (0.3336, 0.6664, 0.0000)
Sm (0.6664, 0.3336, 0.0000)
Sm (0.8332, 0.1668, 0.5000)
Th (0.5000, 0.5000, 0.5000)
Bi (0.0822, 0.4163, 0.2489)
Bi (0.2491, 0.2491, 0.7500)
Bi (0.4163, 0.0822, 0.2489)
Bi (0.5837, 0.9178, 0.7511)
Bi (0.7509, 0.7509, 0.2500)
Bi (0.9178, 0.5837, 0.7511)

---

Entry from Alexandria via LeMat-Bulk: an optimized crystal structure of SmThBi (PBE).

Computed properties:
- crystal system = tetragonal
- ΔH_f (0 K) (eV per atom) = -0.289

Cell lengths 4.4148, 4.4148, 10.2729 Å; angles 90.00, 90.00, 90.00 degrees
Fractional coordinates of all 6 atoms:
Sm (0.2500, 0.2500, 0.2036)
Sm (0.7500, 0.7500, 0.7964)
Th (0.2500, 0.2500, 0.5675)
Th (0.7500, 0.7500, 0.4325)
Bi (0.2500, 0.2500, 0.8831)
Bi (0.7500, 0.7500, 0.1169)

---

Entry from Alexandria via LeMat-Bulk: an optimized crystal structure of Sm2ThBi3 (PBE).

Computed properties:
- crystal system = orthorhombic
- ΔH_f (0 K) (eV per atom) = -0.819

Cell lengths 7.9018, 7.9018, 7.9018 Å; angles 146.29, 131.63, 60.25 degrees
Fractional coordinates of all 6 atoms:
Sm (0.1663, 0.1663, 0.0000)
Sm (0.8337, 0.8337, 0.0000)
Th (0.5000, 0.5000, 0.0000)
Bi (0.0000, 0.5000, 0.5000)
Bi (0.3323, 0.8323, 0.5000)
Bi (0.6677, 0.1677, 0.5000)

---

Entry from Alexandria via LeMat-Bulk: an optimized crystal structure of SmTh6Bi8 (PBE).

Computed properties:
- crystal system = trigonal
- ΔH_f (0 K) (eV per atom) = -0.529

Cell lengths 8.5520, 8.5520, 8.5520 Å; angles 68.77, 68.77, 68.77 degrees
Fractional coordinates of all 15 atoms:
Sm (0.0000, 0.0000, 0.0000)
Th (0.0742, 0.4606, 0.6945)
Th (0.3055, 0.9258, 0.5394)
Th (0.4606, 0.6945, 0.0742)
Th (0.5394, 0.3055, 0.9258)
Th (0.6945, 0.0742, 0.4606)
Th (0.9258, 0.5394, 0.3055)
Bi (0.0965, 0.8129, 0.3642)
Bi (0.1871, 0.6358, 0.9035)
Bi (0.3321, 0.3321, 0.3321)
Bi (0.3642, 0.0965, 0.8129)
Bi (0.6358, 0.9035, 0.1871)
Bi (0.6679, 0.6679, 0.6679)
Bi (0.8129, 0.3642, 0.0965)
Bi (0.9035, 0.1871, 0.6358)

---

Entry from Alexandria via LeMat-Bulk: an optimized crystal structure of SmTh3Bi4 (PBE).

Computed properties:
- crystal system = orthorhombic
- ΔH_f (0 K) (eV per atom) = -0.653

Cell lengths 7.9497, 7.9497, 4.5822 Å; angles 90.00, 90.00, 109.39 degrees
Fractional coordinates of all 8 atoms:
Sm (0.0000, 0.0000, 0.0000)
Th (0.0000, 0.5000, 0.5000)
Th (0.5000, 0.0000, 0.5000)
Th (0.5000, 0.5000, 0.0000)
Bi (0.2477, 0.2477, 0.5000)
Bi (0.2485, 0.7515, 0.0000)
Bi (0.7515, 0.2485, 0.0000)
Bi (0.7523, 0.7523, 0.5000)

---

Entry from Alexandria via LeMat-Bulk: an optimized crystal structure of Sm4Th3Bi8 (PBE).

Computed properties:
- crystal system = monoclinic
- ΔH_f (0 K) (eV per atom) = -0.669

Cell lengths 9.1088, 9.1088, 9.1030 Å; angles 119.79, 119.79, 90.20 degrees
Fractional coordinates of all 15 atoms:
Sm (0.0000, 0.0000, 0.0000)
Sm (0.0000, 0.0000, 0.5000)
Sm (0.0000, 0.5000, 0.0000)
Sm (0.5000, 0.0000, 0.0000)
Th (0.0000, 0.5000, 0.5000)
Th (0.5000, 0.0000, 0.5000)
Th (0.5000, 0.5000, 0.0000)
Bi (0.2484, 0.7516, 0.0000)
Bi (0.2557, 0.2557, 0.0111)
Bi (0.2564, 0.7436, 0.5000)
Bi (0.2576, 0.2576, 0.4997)
Bi (0.7424, 0.7424, 0.5003)
Bi (0.7436, 0.2564, 0.5000)
Bi (0.7443, 0.7443, 0.9889)
Bi (0.7516, 0.2484, 0.0000)

---

Entry from Alexandria via LeMat-Bulk: an optimized crystal structure of Sm3Th5Bi8 (PBE).

Computed properties:
- crystal system = trigonal
- ΔH_f (0 K) (eV per atom) = -0.703

Cell lengths 9.1595, 9.1595, 9.1595 Å; angles 60.08, 60.08, 60.08 degrees
Fractional coordinates of all 16 atoms:
Sm (0.0000, 0.5000, 0.5000)
Sm (0.5000, 0.0000, 0.5000)
Sm (0.5000, 0.5000, 0.0000)
Th (0.0000, 0.0000, 0.0000)
Th (0.0000, 0.0000, 0.5000)
Th (0.0000, 0.5000, 0.0000)
Th (0.5000, 0.0000, 0.0000)
Th (0.5000, 0.5000, 0.5000)
Bi (0.2500, 0.2500, 0.7474)
Bi (0.2500, 0.7474, 0.2500)
Bi (0.2510, 0.2510, 0.2510)
Bi (0.2526, 0.7500, 0.7500)
Bi (0.7474, 0.2500, 0.2500)
Bi (0.7490, 0.7490, 0.7490)
Bi (0.7500, 0.2526, 0.7500)
Bi (0.7500, 0.7500, 0.2526)

---

Entry from Alexandria via LeMat-Bulk: an optimized crystal structure of SmThBi (PBE).

Computed properties:
- crystal system = trigonal
- ΔH_f (0 K) (eV per atom) = -0.115

Cell lengths 5.5571, 5.5571, 3.6345 Å; angles 90.00, 90.00, 120.00 degrees
Fractional coordinates of all 3 atoms:
Sm (0.0000, 0.0000, 0.0000)
Th (0.3333, 0.6667, 0.4763)
Bi (0.6667, 0.3333, 0.7546)

---

Entry from Alexandria via LeMat-Bulk: an optimized crystal structure of Sm5Th3Bi8 (PBE).

Computed properties:
- crystal system = trigonal
- ΔH_f (0 K) (eV per atom) = -0.801

Cell lengths 9.1416, 9.1416, 9.1416 Å; angles 60.09, 60.09, 60.09 degrees
Fractional coordinates of all 16 atoms:
Sm (0.0000, 0.0000, 0.0000)
Sm (0.0000, 0.5000, 0.5000)
Sm (0.5000, 0.0000, 0.5000)
Sm (0.5000, 0.5000, 0.0000)
Sm (0.5000, 0.5000, 0.5000)
Th (0.0000, 0.0000, 0.5000)
Th (0.0000, 0.5000, 0.0000)
Th (0.5000, 0.0000, 0.0000)
Bi (0.2500, 0.2500, 0.7484)
Bi (0.2500, 0.7484, 0.2500)
Bi (0.2512, 0.2512, 0.2512)
Bi (0.2516, 0.7500, 0.7500)
Bi (0.7484, 0.2500, 0.2500)
Bi (0.7488, 0.7488, 0.7488)
Bi (0.7500, 0.2516, 0.7500)
Bi (0.7500, 0.7500, 0.2516)

---

Entry from Alexandria via LeMat-Bulk: an optimized crystal structure of Sm5ThBi4 (PBE).

Computed properties:
- crystal system = monoclinic
- ΔH_f (0 K) (eV per atom) = -0.475

Cell lengths 9.9547, 9.9547, 8.7565 Å; angles 105.52, 105.52, 26.09 degrees
Fractional coordinates of all 10 atoms:
Sm (0.0000, 0.0000, 0.0000)
Sm (0.3172, 0.3172, 0.1500)
Sm (0.3393, 0.3393, 0.6849)
Sm (0.6607, 0.6607, 0.3151)
Sm (0.6828, 0.6828, 0.8500)
Th (0.0000, 0.0000, 0.5000)
Bi (0.1712, 0.1712, 0.5836)
Bi (0.4874, 0.4874, 0.2361)
Bi (0.5126, 0.5126, 0.7639)
Bi (0.8288, 0.8288, 0.4164)

---

Entry from Alexandria via LeMat-Bulk: an optimized crystal structure of SmTh2Bi4 (PBE).

Computed properties:
- crystal system = tetragonal
- ΔH_f (0 K) (eV per atom) = -0.658

Cell lengths 8.3561, 8.3561, 8.3561 Å; angles 109.70, 109.70, 109.01 degrees
Fractional coordinates of all 14 atoms:
Sm (0.0000, 0.0000, 0.0000)
Sm (0.7500, 0.2500, 0.5000)
Th (0.2516, 0.6250, 0.1266)
Th (0.3750, 0.5016, 0.6266)
Th (0.4984, 0.1250, 0.8734)
Th (0.8750, 0.7484, 0.3734)
Bi (0.1225, 0.2152, 0.7466)
Bi (0.1258, 0.7186, 0.7534)
Bi (0.2814, 0.0348, 0.4073)
Bi (0.4686, 0.3758, 0.2534)
Bi (0.6242, 0.8775, 0.0927)
Bi (0.6275, 0.8742, 0.5927)
Bi (0.7848, 0.5314, 0.9073)
Bi (0.9652, 0.3725, 0.2466)

---

Entry from Alexandria via LeMat-Bulk: an optimized crystal structure of SmThBi (PBE).

Computed properties:
- crystal system = tetragonal
- ΔH_f (0 K) (eV per atom) = -0.353

Cell lengths 6.2580, 6.2580, 6.2580 Å; angles 141.26, 141.26, 55.95 degrees
Fractional coordinates of all 3 atoms:
Sm (0.0000, 0.0000, 0.0000)
Th (0.3067, 0.3067, 0.0000)
Bi (0.6477, 0.6477, 0.0000)